# PAuCl2 | Alexandria via LeMat-Bulk | PBE | relaxed
data_PAuCl2
_space_group_name_H-M_alt 'P 1'
_space_group_IT_number 1
_space_group_name_Hall 'P 1'
_cell_length_a 10.104
_cell_length_b 10.104
_cell_length_c 10.104
_cell_angle_alpha 17.59
_cell_angle_beta 17.59
_cell_angle_gamma 17.59
loop_
_atom_site_label
_atom_site_type_symbol
_atom_site_fract_x
_atom_site_fract_y
_atom_site_fract_z
P1 P 0.000 0.000 0.000
Au1 Au 0.500 0.500 0.500
Cl1 Cl 0.928 0.928 0.928
Cl2 Cl 0.072 0.072 0.072
# Total DFT energy (no corrections) in eV per cell: -11.23
# Energy relative to the elements, uncorrected in meV/atom: 287
# E above lowest polymorph in eV/f.u.: 2.47
# Fermi-level density of states in states/eV/cell: 0.20